No. 1
A plane-wave DFT calculation with PBE was carried out for an optimized crystal structure of LaScSn2.

a = 6.843 Å, b = 6.843 Å, c = 7.323 Å
α = 90.00°, β = 90.00°, γ = 139.97°
Element x y z (fractional)
La 0.057 0.943 0.750
La 0.943 0.057 0.250
Sc 0.217 0.783 0.250
Sc 0.783 0.217 0.750
Sn 0.380 0.620 0.546
Sn 0.380 0.620 0.954
Sn 0.620 0.380 0.046
Sn 0.620 0.380 0.454

Properties
The calculation puts the spin magnetization at 0.0 μB per formula unit. The value obtained for the density of states at the Fermi level is 0.64 states/eV/atom. The calculation puts the formation energy from the elements at -697 meV per atom. Its space group is No. 63.

No. 2
A plane-wave DFT calculation with PBE was carried out for an optimized crystal structure of LiV2Fe4.

a = 6.439 Å, b = 6.439 Å, c = 6.439 Å
α = 145.14°, β = 145.14°, γ = 50.13°
Element x y z (fractional)
Li 0.000 0.000 0.000
V 0.374 0.374 0.000
V 0.626 0.626 0.000
Fe 0.000 0.500 0.500
Fe 0.184 0.184 0.000
Fe 0.500 0.000 0.500
Fe 0.816 0.816 0.000

Properties
The calculation puts the spin magnetization at 2.9 μB per formula unit. The value obtained for the density of states at the Fermi level is 0.56 states/eV/atom. The calculation puts the formation energy from the elements at 735 meV per atom. Its space group is No. 139.

No. 3
A plane-wave DFT calculation with PBE was carried out for an optimized crystal structure of Y3NbAl.

a = 5.368 Å, b = 5.368 Å, c = 5.368 Å
α = 90.00°, β = 90.00°, γ = 90.00°
Element x y z (fractional)
Y 0.000 0.000 0.500
Y 0.000 0.500 0.000
Y 0.500 0.000 0.000
Nb 0.000 0.000 0.000
Al 0.500 0.500 0.500

Properties
The calculation puts the spin magnetization at 0.0 μB per formula unit. The value obtained for the density of states at the Fermi level is 1.22 states/eV/atom. The polymorph energy (0 for the lowest one) is 0.000 eV per atom. The calculation puts the formation energy from the elements at 643 meV per atom. Its space group is No. 221.

No. 4
A plane-wave DFT calculation with PBE was carried out for an optimized crystal structure of Fe2CuP.

a = 3.574 Å, b = 3.574 Å, c = 3.643 Å
α = 90.00°, β = 90.00°, γ = 90.00°
Element x y z (fractional)
Fe 0.000 0.500 0.000
Fe 0.500 0.000 0.000
Cu 0.000 0.000 0.500
P 0.500 0.500 0.500

Properties
The calculation puts the spin magnetization at 4.9 μB per formula unit. The value obtained for the density of states at the Fermi level is 0.98 states/eV/atom. The calculation puts the formation energy from the elements at 13 meV per atom. Its space group is No. 123.

No. 5
A plane-wave DFT calculation with PBE was carried out for an optimized crystal structure of CuSb2TeSe.

a = 5.150 Å, b = 5.150 Å, c = 4.989 Å
α = 90.00°, β = 90.00°, γ = 90.00°
Element x y z (fractional)
Cu 0.000 0.000 0.000
Sb 0.000 0.500 0.000
Sb 0.500 0.000 0.000
Te 0.000 0.000 0.500
Se 0.500 0.500 0.500

Properties
The calculation puts the spin magnetization at 0.0 μB per formula unit. The value obtained for the density of states at the Fermi level is 1.07 states/eV/atom. The polymorph energy (0 for the lowest one) is 0.000 eV per atom. Its space group is No. 123. The uncorrected formation energy comes out at 0.5033 eV per atom.

No. 6
A plane-wave DFT calculation with PBE was carried out for an optimized crystal structure of Ba3Hg.

a = 8.011 Å, b = 8.011 Å, c = 11.619 Å
α = 90.00°, β = 90.00°, γ = 146.75°
Element x y z (fractional)
Ba 0.078 0.922 0.750
Ba 0.360 0.640 0.569
Ba 0.360 0.640 0.931
Ba 0.640 0.360 0.069
Ba 0.640 0.360 0.431
Ba 0.922 0.078 0.250
Hg 0.247 0.753 0.250
Hg 0.753 0.247 0.750

Properties
The calculation puts the spin magnetization at 0.3 μB per formula unit. The value obtained for the density of states at the Fermi level is 1.64 states/eV/atom. The polymorph energy (0 for the lowest one) is 0.012 eV per atom. The calculation puts the formation energy from the elements at -249 meV per atom. Its space group is No. 63.

No. 7
A plane-wave DFT calculation with PBE was carried out for an optimized crystal structure of NbAl2Co.

a = 3.887 Å, b = 3.887 Å, c = 3.859 Å
α = 90.00°, β = 90.00°, γ = 90.00°
Element x y z (fractional)
Nb 0.000 0.000 0.000
Al 0.000 0.500 0.500
Al 0.500 0.000 0.500
Co 0.500 0.500 0.000

Properties
The calculation puts the spin magnetization at 0.7 μB per formula unit. The value obtained for the density of states at the Fermi level is 0.86 states/eV/atom. The calculation puts the formation energy from the elements at -319 meV per atom. Its space group is No. 123.

No. 8
A plane-wave DFT calculation with PBE was carried out for an optimized crystal structure of LiLa3Mg2.

a = 3.961 Å, b = 3.961 Å, c = 11.793 Å
α = 90.00°, β = 90.00°, γ = 90.00°
Element x y z (fractional)
Li 0.000 0.000 0.000
La 0.500 0.500 0.169
La 0.500 0.500 0.500
La 0.500 0.500 0.831
Mg 0.000 0.000 0.334
Mg 0.000 0.000 0.666

Properties
The calculation puts the spin magnetization at 0.0 μB per formula unit. The value obtained for the density of states at the Fermi level is 0.97 states/eV/atom. The polymorph energy (0 for the lowest one) is 0.000 eV per atom. The calculation puts the formation energy from the elements at -43 meV per atom. Its space group is No. 123.